1.
! NdGd2Sc (PBE, optimized geometry); values from VASP
! SG: No. 166
&SYSTEM
  ibrav = 0, nat = 4, ntyp = 3
/
ATOMIC_SPECIES
Gd 157.25 Gd.upf
Nd 144.24 Nd.upf
Sc 44.96 Sc.upf
CELL_PARAMETERS angstrom
-0.8091 -3.2340 -0.9051
2.0406 -2.6209 0.9486
-5.9904 -3.2218 10.2744
ATOMIC_POSITIONS crystal
Gd 0.9075 0.9075 0.2775
Nd 0.0000 0.0000 0.0000
Sc 0.5000 0.5000 0.5000
Gd 0.0925 0.0925 0.7225

2.
! NdGd2Sc (PBE, optimized geometry); values from VASP
! SG: No. 225
&SYSTEM
  ibrav = 0, nat = 4, ntyp = 3
/
ATOMIC_SPECIES
Nd 144.24 Nd.upf
Gd 157.25 Gd.upf
Sc 44.96 Sc.upf
CELL_PARAMETERS angstrom
5.6079 0.0000 0.0000
2.8039 4.8566 0.0000
2.8039 1.6189 4.5788
ATOMIC_POSITIONS crystal
Nd 0.0000 0.0000 0.0000
Gd 0.2500 0.2500 0.2500
Sc 0.5000 0.5000 0.5000
Gd 0.7500 0.7500 0.7500

3.
! NdGd2Sc (PBE, optimized geometry); values from VASP
! SG: No. 123
&SYSTEM
  ibrav = 0, nat = 4, ntyp = 3
/
ATOMIC_SPECIES
Nd 144.24 Nd.upf
Sc 44.96 Sc.upf
Gd 157.25 Gd.upf
CELL_PARAMETERS angstrom
4.9995 0.0000 0.0000
0.0000 4.9668 0.0000
0.0000 0.0000 4.9668
ATOMIC_POSITIONS crystal
Nd 0.5000 0.5000 0.5000
Sc 0.5000 0.0000 0.0000
Gd 0.0000 0.5000 0.0000
Gd 0.0000 0.0000 0.5000

4.
! NdGd2Sc (PBE, optimized geometry); values from VASP
! SG: No. 123
&SYSTEM
  ibrav = 0, nat = 4, ntyp = 3
/
ATOMIC_SPECIES
Sc 44.96 Sc.upf
Gd 157.25 Gd.upf
Nd 144.24 Nd.upf
CELL_PARAMETERS angstrom
3.5787 0.0000 0.0000
0.0000 3.5787 0.0000
0.0000 0.0000 9.7045
ATOMIC_POSITIONS crystal
Sc 0.5000 0.5000 0.0000
Gd 0.0000 0.0000 0.2320
Nd 0.5000 0.5000 0.5000
Gd 0.0000 0.0000 0.7680

5.
! NdSmGdSc (PBE, optimized geometry); values from VASP
! SG: No. 216
&SYSTEM
  ibrav = 0, nat = 4, ntyp = 4
/
ATOMIC_SPECIES
Gd 157.25 Gd.upf
Sm 150.36 Sm.upf
Nd 144.24 Nd.upf
Sc 44.96 Sc.upf
CELL_PARAMETERS angstrom
-1.2982 5.2877 1.4142
-5.3157 1.3536 1.2476
-1.4199 1.2253 5.3036
ATOMIC_POSITIONS crystal
Gd 0.2500 0.2500 0.2500
Sm 0.5000 0.5000 0.5000
Nd 0.7500 0.7500 0.7500
Sc 0.0000 0.0000 0.0000

6.
! NdGdScSn (PBE, optimized geometry); values from VASP
! SG: No. 216
&SYSTEM
  ibrav = 0, nat = 4, ntyp = 4
/
ATOMIC_SPECIES
Nd 144.24 Nd.upf
Sc 44.96 Sc.upf
Sn 118.71 Sn.upf
Gd 157.25 Gd.upf
CELL_PARAMETERS angstrom
-3.4433 -3.2698 2.5784
1.2277 -5.2172 0.6849
1.2179 -1.8652 4.9228
ATOMIC_POSITIONS crystal
Nd 0.5000 0.5000 0.5000
Sc 0.7500 0.7500 0.7500
Sn 0.2500 0.2500 0.2500
Gd 0.0000 0.0000 0.0000

| no. | energy of formation (meV/atom) |
| --- | --- |
| 1 | 164.3 |
| 2 | 115.5 |
| 3 | 42.6 |
| 4 | 49.3 |
| 5 | 124.7 |
| 6 | -270.8 |